1.
PBE-GGA CuPPdS2, optimized geometry; space group = P4/mmm, No. 123; final energy = -18.61 eV per cell; magnetic moment = 0.000 μB per formula unit; offset from the most stable computed form = 5.8 kJ per mole of atoms
1.0
-4.498 -1.777 -0.447
1.139 -3.638 3.009
-1.313 2.453 3.463
Cu S P Pd
1 2 1 1
direct
0.500 0.500 0.500
0.000 0.500 0.000
0.500 0.000 0.000
0.000 0.000 0.500
0.000 0.000 0.000

=====

2.
PBE-GGA Rb2FeNiCl6, optimized geometry; space group = R-3m, No. 166; final energy = -78.19 eV per cell; magnetic moment = 4.220 μB per formula unit; offset from the most stable computed form = 0.0 kJ per mole of atoms
1.0
7.035 0.000 0.000
3.518 6.093 0.000
3.518 2.031 11.598
Cl Fe Rb Ni
12 2 4 2
direct
0.614 0.614 0.628
0.710 0.206 0.878
0.206 0.206 0.878
0.386 0.857 0.372
0.614 0.143 0.628
0.143 0.614 0.628
0.290 0.794 0.122
0.857 0.386 0.372
0.206 0.710 0.878
0.386 0.386 0.372
0.794 0.794 0.122
0.794 0.290 0.122
0.413 0.413 0.760
0.587 0.587 0.240
0.292 0.292 0.123
0.124 0.124 0.629
0.708 0.708 0.877
0.876 0.876 0.371
0.500 0.500 0.500
0.000 0.000 0.000

=====

3.
PBE-GGA AcTlInPt, optimized geometry; space group = F-43m, No. 216; final energy = -17.09 eV per cell; magnetic moment = 0.000 μB per formula unit; energy relative to the elements = -0.46 eV/atom
1.0
5.292 0.000 0.000
2.646 4.583 0.000
2.646 1.528 4.321
Pt Tl In Ac
1 1 1 1
direct
0.250 0.250 0.250
0.750 0.750 0.750
0.000 0.000 0.000
0.500 0.500 0.500